1.
ZrTiGe3 after structural relaxation. Source: Alexandria, functional PBE.

Unit cell a=4.771 b=4.771 c=4.771 alpha=90.00 beta=90.00 gamma=90.00
Atoms (fractional coordinates):
Zr1 0.000 0.000 0.000
Ti1 0.500 0.500 0.500
Ge1 0.000 0.500 0.500
Ge2 0.500 0.000 0.500
Ge3 0.500 0.500 0.000

Fermi-level density of states = 1.1748 states/eV/atom
Space group = Pm-3m
E_form = 0.3243 eV/atom
Calculated density = 5.5 Mg/m³
Electronic total energy = -5.735 eV/atom



2.
ZrTi2Ge2 after structural relaxation. Source: Alexandria, functional PBE.

Unit cell a=4.870 b=4.870 c=8.068 alpha=90.00 beta=90.00 gamma=90.00
Atoms (fractional coordinates):
Zr1 0.000 0.000 0.000
Zr2 0.500 0.500 0.500
Ti1 0.000 0.000 0.336
Ti2 0.000 0.000 0.664
Ti3 0.500 0.500 0.164
Ti4 0.500 0.500 0.836
Ge1 0.000 0.500 0.250
Ge2 0.000 0.500 0.750
Ge3 0.500 0.000 0.250
Ge4 0.500 0.000 0.750

Fermi-level density of states = 0.6219 states/eV/atom
Space group = I4/mmm
Relative energy among the computed polymorphs = 491 meV/atom
E_form = -0.1695 eV/atom
Calculated density = 5.8 Mg/m³
Electronic total energy = -6.884 eV/atom



3.
ZrTi3Ge after structural relaxation. Source: Alexandria, functional PBE.

Unit cell a=4.739 b=4.739 c=4.739 alpha=90.00 beta=90.00 gamma=90.00
Atoms (fractional coordinates):
Zr1 0.000 0.000 0.000
Ti1 0.000 0.500 0.500
Ti2 0.500 0.000 0.500
Ti3 0.500 0.500 0.000
Ge1 0.500 0.500 0.500

Fermi-level density of states = 1.5062 states/eV/atom
Space group = Pm-3m
Relative energy among the computed polymorphs = 671 meV/atom
E_form = 0.3648 eV/atom
Calculated density = 4.8 Mg/m³
Electronic total energy = -7.005 eV/atom



4.
Zr3TiGe after structural relaxation. Source: Alexandria, functional PBE.

Unit cell a=5.016 b=5.016 c=5.016 alpha=90.00 beta=90.00 gamma=90.00
Atoms (fractional coordinates):
Zr1 0.000 0.000 0.500
Zr2 0.000 0.500 0.000
Zr3 0.500 0.000 0.000
Ti1 0.500 0.500 0.500
Ge1 0.000 0.000 0.000

Fermi-level density of states = 1.7668 states/eV/atom
Space group = Pm-3m
Relative energy among the computed polymorphs = 0 meV/atom
E_form = 0.4389 eV/atom
Calculated density = 5.2 Mg/m³
Electronic total energy = -7.192 eV/atom



5.
Zr2TiGe2 after structural relaxation. Source: Alexandria, functional PBE.

Unit cell a=6.994 b=6.994 c=3.812 alpha=90.00 beta=90.00 gamma=90.00
Atoms (fractional coordinates):
Zr1 0.171 0.329 0.000
Zr2 0.329 0.829 0.000
Zr3 0.671 0.171 0.000
Zr4 0.829 0.671 0.000
Ti1 0.000 0.000 0.500
Ti2 0.500 0.500 0.500
Ge1 0.132 0.632 0.500
Ge2 0.368 0.132 0.500
Ge3 0.632 0.868 0.500
Ge4 0.868 0.368 0.500

Fermi-level density of states = 1.1331 states/eV/atom
Space group = P4/mbm
Relative energy among the computed polymorphs = 0 meV/atom
E_form = -0.7692 eV/atom
Calculated density = 6.7 Mg/m³
Electronic total energy = -7.614 eV/atom



6.
ZrTiGe2 after structural relaxation. Source: Alexandria, functional PBE.

Unit cell a=3.818 b=3.818 c=18.080 alpha=90.00 beta=90.00 gamma=120.00
Atoms (fractional coordinates):
Zr1 0.000 0.000 0.000
Zr2 0.333 0.667 0.667
Zr3 0.667 0.333 0.333
Ti1 0.000 0.000 0.500
Ti2 0.333 0.667 0.167
Ti3 0.667 0.333 0.833
Ge1 0.000 0.000 0.244
Ge2 0.000 0.000 0.756
Ge3 0.333 0.667 0.423
Ge4 0.333 0.667 0.911
Ge5 0.667 0.333 0.089
Ge6 0.667 0.333 0.577

Fermi-level density of states = 0.1870 states/eV/atom
Space group = R-3m
Relative energy among the computed polymorphs = 2 meV/atom
E_form = -0.6017 eV/atom
Calculated density = 6.2 Mg/m³
Electronic total energy = -7.021 eV/atom



7.
Zr3TiGe after structural relaxation. Source: Alexandria, functional PBE.

Unit cell a=4.903 b=4.903 c=4.903 alpha=90.00 beta=90.00 gamma=90.00
Atoms (fractional coordinates):
Zr1 0.000 0.000 0.500
Zr2 0.000 0.500 0.000
Zr3 0.500 0.000 0.000
Ti1 0.000 0.000 0.000
Ge1 0.500 0.500 0.500

Fermi-level density of states = 1.5912 states/eV/atom
Space group = Pm-3m
Relative energy among the computed polymorphs = 312 meV/atom
E_form = 0.7505 eV/atom
Calculated density = 5.6 Mg/m³
Electronic total energy = -6.881 eV/atom



8.
Zr2TiGe2 after structural relaxation. Source: Alexandria, functional PBE.

Unit cell a=7.956 b=7.956 c=7.135 alpha=90.00 beta=90.00 gamma=152.73
Atoms (fractional coordinates):
Zr1 0.037 0.963 0.500
Zr2 0.198 0.802 0.889
Zr3 0.802 0.198 0.389
Zr4 0.963 0.037 0.000
Ti1 0.404 0.596 0.659
Ti2 0.596 0.404 0.159
Ge1 0.188 0.812 0.285
Ge2 0.435 0.565 0.294
Ge3 0.565 0.435 0.794
Ge4 0.812 0.188 0.785

Fermi-level density of states = 0.9289 states/eV/atom
Space group = Cmc2_1
Relative energy among the computed polymorphs = 278 meV/atom
E_form = -0.4917 eV/atom
Calculated density = 6.0 Mg/m³
Electronic total energy = -7.337 eV/atom



9.
ZrTi2Ge2 after structural relaxation. Source: Alexandria, functional PBE.

Unit cell a=7.092 b=7.092 c=3.443 alpha=90.00 beta=90.00 gamma=90.00
Atoms (fractional coordinates):
Zr1 0.000 0.000 0.000
Zr2 0.500 0.500 0.000
Ti1 0.169 0.331 0.500
Ti2 0.331 0.831 0.500
Ti3 0.669 0.169 0.500
Ti4 0.831 0.669 0.500
Ge1 0.130 0.630 0.000
Ge2 0.370 0.130 0.000
Ge3 0.630 0.870 0.000
Ge4 0.870 0.370 0.000

Fermi-level density of states = 0.8728 states/eV/atom
Space group = P4/mbm
Relative energy among the computed polymorphs = 0 meV/atom
E_form = -0.6603 eV/atom
Calculated density = 6.4 Mg/m³
Electronic total energy = -7.375 eV/atom



10.
ZrTiGe3 after structural relaxation. Source: Alexandria, functional PBE.

Unit cell a=5.078 b=5.078 c=5.078 alpha=90.00 beta=90.00 gamma=90.00
Atoms (fractional coordinates):
Zr1 0.000 0.000 0.000
Ti1 0.500 0.500 0.500
Ge1 0.000 0.000 0.500
Ge2 0.000 0.500 0.000
Ge3 0.500 0.000 0.000

Fermi-level density of states = 1.7695 states/eV/atom
Space group = Pm-3m
E_form = 0.7866 eV/atom
Calculated density = 4.5 Mg/m³
Electronic total energy = -5.272 eV/atom



11.
ZrTi2Ge2 after structural relaxation. Source: Alexandria, functional PBE.

Unit cell a=7.732 b=7.732 c=2.906 alpha=90.00 beta=90.00 gamma=90.00
Atoms (fractional coordinates):
Zr1 0.000 0.000 0.000
Zr2 0.500 0.500 0.000
Ti1 0.121 0.379 0.000
Ti2 0.379 0.879 0.000
Ti3 0.621 0.121 0.000
Ti4 0.879 0.621 0.000
Ge1 0.176 0.676 0.500
Ge2 0.324 0.176 0.500
Ge3 0.676 0.824 0.500
Ge4 0.824 0.324 0.500

Fermi-level density of states = 0.9823 states/eV/atom
Space group = P4/mbm
Relative energy among the computed polymorphs = 309 meV/atom
E_form = -0.3516 eV/atom
Calculated density = 6.4 Mg/m³
Electronic total energy = -7.066 eV/atom



12.
ZrTi3Ge after structural relaxation. Source: Alexandria, functional PBE.

Unit cell a=8.853 b=3.436 c=12.022 alpha=90.00 beta=90.00 gamma=90.00
Atoms (fractional coordinates):
Zr1 0.163 0.250 0.004
Zr2 0.337 0.750 0.504
Zr3 0.663 0.250 0.496
Zr4 0.837 0.750 0.996
Ti1 0.071 0.250 0.415
Ti2 0.080 0.750 0.220
Ti3 0.168 0.750 0.796
Ti4 0.332 0.250 0.296
Ti5 0.420 0.250 0.720
Ti6 0.429 0.750 0.915
Ti7 0.571 0.250 0.085
Ti8 0.580 0.750 0.280
Ti9 0.668 0.750 0.704
Ti10 0.832 0.250 0.204
Ti11 0.920 0.250 0.780
Ti12 0.929 0.750 0.585
Ge1 0.147 0.250 0.629
Ge2 0.353 0.750 0.129
Ge3 0.647 0.250 0.871
Ge4 0.853 0.750 0.371

Fermi-level density of states = 1.3100 states/eV/atom
Space group = Pnma
Relative energy among the computed polymorphs = 0 meV/atom
E_form = -0.3058 eV/atom
Calculated density = 5.6 Mg/m³
Electronic total energy = -7.676 eV/atom



13.
ZrTiGe4 after structural relaxation. Source: Alexandria, functional PBE.

Unit cell a=9.567 b=3.604 c=6.466 alpha=90.00 beta=109.77 gamma=90.00
Atoms (fractional coordinates):
Zr1 0.000 0.000 0.000
Zr2 0.500 0.500 0.000
Ti1 0.000 0.000 0.500
Ti2 0.500 0.500 0.500
Ge1 0.165 0.500 0.345
Ge2 0.167 0.500 0.820
Ge3 0.333 0.000 0.180
Ge4 0.335 0.000 0.655
Ge5 0.665 0.000 0.345
Ge6 0.667 0.000 0.820
Ge7 0.833 0.500 0.180
Ge8 0.835 0.500 0.655

Fermi-level density of states = 0.6348 states/eV/atom
Space group = C2/m
E_form = -0.3031 eV/atom
Calculated density = 6.8 Mg/m³
Electronic total energy = -6.122 eV/atom



14.
ZrTiGe2 after structural relaxation. Source: Alexandria, functional PBE.

Unit cell a=7.920 b=6.918 c=5.574 alpha=90.00 beta=90.00 gamma=90.00
Atoms (fractional coordinates):
Zr1 0.125 0.090 0.250
Zr2 0.125 0.410 0.750
Zr3 0.875 0.590 0.250
Zr4 0.875 0.910 0.750
Ti1 0.375 0.574 0.250
Ti2 0.375 0.926 0.750
Ti3 0.625 0.074 0.250
Ti4 0.625 0.426 0.750
Ge1 0.140 0.750 0.000
Ge2 0.140 0.750 0.500
Ge3 0.390 0.250 0.000
Ge4 0.390 0.250 0.500
Ge5 0.610 0.750 0.000
Ge6 0.610 0.750 0.500
Ge7 0.860 0.250 0.000
Ge8 0.860 0.250 0.500

Fermi-level density of states = 0.2698 states/eV/atom
Space group = Pbcm
Relative energy among the computed polymorphs = 0 meV/atom
E_form = -0.6040 eV/atom
Calculated density = 6.2 Mg/m³
Electronic total energy = -7.023 eV/atom



15.
ZrTi3Ge2 after structural relaxation. Source: Alexandria, functional PBE.

Unit cell a=8.097 b=8.097 c=7.933 alpha=112.74 beta=112.74 gamma=26.44
Atoms (fractional coordinates):
Zr1 0.116 0.116 0.133
Zr2 0.884 0.884 0.867
Ti1 0.060 0.060 0.669
Ti2 0.314 0.314 0.102
Ti3 0.351 0.351 0.519
Ti4 0.649 0.649 0.481
Ti5 0.686 0.686 0.898
Ti6 0.940 0.940 0.331
Ge1 0.242 0.242 0.719
Ge2 0.489 0.489 0.159
Ge3 0.511 0.511 0.841
Ge4 0.758 0.758 0.281

Fermi-level density of states = 1.0346 states/eV/atom
Space group = C2/m
E_form = -0.5220 eV/atom
Calculated density = 5.9 Mg/m³
Electronic total energy = -7.433 eV/atom



16.
Zr5Ti2Ge4 after structural relaxation. Source: Alexandria, functional PBE.

Unit cell a=11.192 b=11.192 c=6.868 alpha=92.02 beta=92.02 gamma=15.23
Atoms (fractional coordinates):
Zr1 0.000 0.000 0.000
Zr2 0.322 0.322 0.501
Zr3 0.355 0.355 0.026
Zr4 0.645 0.645 0.974
Zr5 0.678 0.678 0.499
Ti1 0.452 0.452 0.340
Ti2 0.548 0.548 0.660
Ge1 0.236 0.236 0.201
Ge2 0.431 0.431 0.711
Ge3 0.569 0.569 0.289
Ge4 0.764 0.764 0.799

Fermi-level density of states = 1.0829 states/eV/atom
Space group = C2/m
E_form = -0.1744 eV/atom
Calculated density = 6.2 Mg/m³
Electronic total energy = -7.174 eV/atom



17.
ZrTiGe2 after structural relaxation. Source: Alexandria, functional PBE.

Unit cell a=7.180 b=7.180 c=5.840 alpha=90.00 beta=90.00 gamma=90.00
Atoms (fractional coordinates):
Zr1 0.000 0.000 0.000
Zr2 0.000 0.500 0.250
Zr3 0.500 0.000 0.750
Zr4 0.500 0.500 0.500
Ti1 0.000 0.000 0.500
Ti2 0.000 0.500 0.750
Ti3 0.500 0.000 0.250
Ti4 0.500 0.500 0.000
Ge1 0.235 0.250 0.625
Ge2 0.250 0.735 0.875
Ge3 0.250 0.765 0.375
Ge4 0.265 0.250 0.125
Ge5 0.735 0.750 0.125
Ge6 0.750 0.235 0.375
Ge7 0.750 0.265 0.875
Ge8 0.765 0.750 0.625

Fermi-level density of states = 0.1233 states/eV/atom
Space group = I-42d
Relative energy among the computed polymorphs = 206 meV/atom
E_form = -0.3981 eV/atom
Calculated density = 6.3 Mg/m³
Electronic total energy = -6.818 eV/atom



18.
ZrTi6Ge4 after structural relaxation. Source: Alexandria, functional PBE.

Unit cell a=6.707 b=6.707 c=6.707 alpha=120.11 beta=120.11 gamma=89.81
Atoms (fractional coordinates):
Zr1 0.000 0.000 0.000
Ti1 0.000 0.500 0.500
Ti2 0.183 0.488 0.000
Ti3 0.488 0.183 0.000
Ti4 0.500 0.000 0.500
Ti5 0.512 0.512 0.695
Ti6 0.817 0.817 0.305
Ge1 0.178 0.178 0.553
Ge2 0.375 0.822 0.000
Ge3 0.625 0.625 0.447
Ge4 0.822 0.375 0.000

Fermi-level density of states = 1.0436 states/eV/atom
Space group = I-42m
E_form = -0.2261 eV/atom
Calculated density = 5.2 Mg/m³
Electronic total energy = -6.989 eV/atom



19.
ZrTi2Ge2 after structural relaxation. Source: Alexandria, functional PBE.

Unit cell a=6.687 b=6.687 c=5.207 alpha=110.03 beta=110.03 gamma=99.50
Atoms (fractional coordinates):
Zr1 0.098 0.902 0.750
Zr2 0.902 0.098 0.250
Ti1 0.229 0.421 0.033
Ti2 0.421 0.229 0.533
Ti3 0.579 0.771 0.467
Ti4 0.771 0.579 0.967
Ge1 0.183 0.817 0.250
Ge2 0.372 0.628 0.750
Ge3 0.628 0.372 0.250
Ge4 0.817 0.183 0.750

Fermi-level density of states = 0.8778 states/eV/atom
Space group = C2/c
Relative energy among the computed polymorphs = 373 meV/atom
E_form = -0.2874 eV/atom
Calculated density = 5.7 Mg/m³
Electronic total energy = -7.002 eV/atom



20.
ZrTi2Ge4 after structural relaxation. Source: Alexandria, functional PBE.

Unit cell a=4.977 b=4.977 c=13.071 alpha=90.00 beta=90.00 gamma=90.00
Atoms (fractional coordinates):
Zr1 0.000 0.000 0.000
Zr2 0.500 0.500 0.500
Ti1 0.000 0.000 0.403
Ti2 0.000 0.000 0.597
Ti3 0.500 0.500 0.097
Ti4 0.500 0.500 0.903
Ge1 0.000 0.000 0.205
Ge2 0.000 0.000 0.795
Ge3 0.000 0.500 0.000
Ge4 0.000 0.500 0.500
Ge5 0.500 0.000 0.000
Ge6 0.500 0.000 0.500
Ge7 0.500 0.500 0.295
Ge8 0.500 0.500 0.705

Fermi-level density of states = 0.6194 states/eV/atom
Space group = I4/mmm
E_form = 0.1969 eV/atom
Calculated density = 4.9 Mg/m³
Electronic total energy = -5.918 eV/atom



21.
ZrTiGe after structural relaxation. Source: Alexandria, functional PBE.

Unit cell a=3.453 b=3.453 c=9.199 alpha=90.00 beta=90.00 gamma=90.00
Atoms (fractional coordinates):
Zr1 0.000 0.000 0.000
Zr2 0.500 0.500 0.500
Ti1 0.000 0.000 0.315
Ti2 0.500 0.500 0.815
Ge1 0.000 0.000 0.675
Ge2 0.500 0.500 0.175

Fermi-level density of states = 0.5429 states/eV/atom
Space group = I4mm
E_form = -0.4595 eV/atom
Calculated density = 6.4 Mg/m³
Electronic total energy = -7.480 eV/atom



22.
Zr2Ti3Ge4 after structural relaxation. Source: Alexandria, functional PBE.

Unit cell a=6.974 b=6.960 c=6.809 alpha=90.00 beta=109.84 gamma=90.00
Atoms (fractional coordinates):
Zr1 0.189 0.172 0.058
Zr2 0.189 0.328 0.558
Zr3 0.811 0.672 0.442
Zr4 0.811 0.828 0.942
Ti1 0.251 0.672 0.245
Ti2 0.251 0.828 0.745
Ti3 0.500 0.000 0.500
Ti4 0.500 0.500 0.000
Ti5 0.749 0.172 0.255
Ti6 0.749 0.328 0.755
Ge1 0.082 0.539 0.850
Ge2 0.082 0.961 0.350
Ge3 0.493 0.133 0.864
Ge4 0.493 0.367 0.364
Ge5 0.507 0.633 0.636
Ge6 0.507 0.867 0.136
Ge7 0.918 0.039 0.650
Ge8 0.918 0.461 0.150

Fermi-level density of states = 0.6921 states/eV/atom
Space group = P2_1/c
E_form = -0.8271 eV/atom
Calculated density = 6.6 Mg/m³
Electronic total energy = -7.410 eV/atom



23.
ZrTi3Ge after structural relaxation. Source: Alexandria, functional PBE.

Unit cell a=4.803 b=4.803 c=4.803 alpha=90.00 beta=90.00 gamma=90.00
Atoms (fractional coordinates):
Zr1 0.000 0.000 0.000
Ti1 0.000 0.000 0.500
Ti2 0.000 0.500 0.000
Ti3 0.500 0.000 0.000
Ge1 0.500 0.500 0.500

Fermi-level density of states = 1.0926 states/eV/atom
Space group = Pm-3m
Relative energy among the computed polymorphs = 1494 meV/atom
E_form = 1.1884 eV/atom
Calculated density = 4.6 Mg/m³
Electronic total energy = -6.182 eV/atom



24.
ZrTiGe2 after structural relaxation. Source: Alexandria, functional PBE.

Unit cell a=6.590 b=6.590 c=6.590 alpha=90.00 beta=90.00 gamma=90.00
Atoms (fractional coordinates):
Zr1 0.000 0.000 0.000
Zr2 0.000 0.500 0.500
Zr3 0.500 0.000 0.500
Zr4 0.500 0.500 0.000
Ti1 0.000 0.000 0.500
Ti2 0.000 0.500 0.000
Ti3 0.500 0.000 0.000
Ti4 0.500 0.500 0.500
Ge1 0.250 0.250 0.250
Ge2 0.250 0.250 0.750
Ge3 0.250 0.750 0.250
Ge4 0.250 0.750 0.750
Ge5 0.750 0.250 0.250
Ge6 0.750 0.250 0.750
Ge7 0.750 0.750 0.250
Ge8 0.750 0.750 0.750

Fermi-level density of states = 1.6953 states/eV/atom
Space group = Fm-3m
Relative energy among the computed polymorphs = 297 meV/atom
E_form = -0.3066 eV/atom
Calculated density = 6.6 Mg/m³
Electronic total energy = -6.726 eV/atom